{
  "formula": "CsAlIn2N",
  "functional": "PBE",
  "state": "optimized geometry",
  "e_form_raw_kj_per_mol_fu": 364.0,
  "n_ef_per_ev_cell": 4.36,
  "total_magnetization_mub_per_fu": 0.000,
  "cell": [[4.805, 0.000, 0.000], [0.000, 4.805, 0.000], [0.000, 0.000, 6.046]],
  "species": ["Cs", "Al", "In", "In", "N"],
  "frac_coords": [[0.000, 0.000, 0.000], [0.500, 0.500, 0.000], [0.000, 0.500, 0.500], [0.500, 0.000, 0.500], [0.000, 0.000, 0.500]]
}

***

{
  "formula": "CsNa2AlIn",
  "functional": "PBE",
  "state": "optimized geometry",
  "delta_e_f_ev_per_atom": 0.9349,
  "n_ef_per_ev_cell": 4.62,
  "total_magnetization_mub_per_fu": 0.000,
  "de_polymorph_ev_per_fu": 4.111,
  "cell": [[6.441, 0.000, 0.000], [0.000, 6.441, 0.000], [0.000, 0.000, 6.335]],
  "species": ["Cs", "Na", "Na", "Al", "In"],
  "frac_coords": [[0.000, 0.000, 0.000], [0.000, 0.500, 0.000], [0.500, 0.000, 0.000], [0.000, 0.000, 0.500], [0.500, 0.500, 0.500]]
}

***

{
  "formula": "CsNaAlIn2",
  "functional": "PBE",
  "state": "optimized geometry",
  "delta_e_f_ev_per_atom": 0.3012,
  "n_ef_per_ev_cell": 3.81,
  "total_magnetization_mub_per_fu": 0.000,
  "cell": [[5.506, 0.000, 0.000], [0.000, 5.506, 0.000], [0.000, 0.000, 6.760]],
  "species": ["Cs", "Na", "Al", "In", "In"],
  "frac_coords": [[0.000, 0.000, 0.000], [0.500, 0.500, 0.000], [0.000, 0.000, 0.500], [0.000, 0.500, 0.500], [0.500, 0.000, 0.500]]
}

***

{
  "formula": "CsNa2AlIn",
  "functional": "PBE",
  "state": "optimized geometry",
  "delta_e_f_ev_per_atom": 0.1388,
  "n_ef_per_ev_cell": 2.29,
  "total_magnetization_mub_per_fu": 0.000,
  "de_polymorph_ev_per_fu": 0.130,
  "cell": [[6.140, 0.000, 0.000], [0.000, 6.140, 0.000], [0.000, 0.000, 5.341]],
  "species": ["Cs", "Na", "Na", "Al", "In"],
  "frac_coords": [[0.000, 0.000, 0.000], [0.000, 0.500, 0.500], [0.500, 0.000, 0.500], [0.500, 0.500, 0.000], [0.500, 0.500, 0.500]]
}

***

{
  "formula": "CsNa2AlIn",
  "functional": "PBE",
  "state": "optimized geometry",
  "delta_e_f_ev_per_atom": 0.1127,
  "n_ef_per_ev_cell": 2.31,
  "total_magnetization_mub_per_fu": 0.000,
  "de_polymorph_ev_per_fu": 0.000,
  "cell": [[6.074, 0.000, 0.000], [0.000, 6.074, 0.000], [0.000, 0.000, 5.374]],
  "species": ["Cs", "Na", "Na", "Al", "In"],
  "frac_coords": [[0.000, 0.000, 0.000], [0.000, 0.500, 0.500], [0.500, 0.000, 0.500], [0.500, 0.500, 0.500], [0.500, 0.500, 0.000]]
}

***

{
  "formula": "CsAlIn2Ni",
  "functional": "PBE",
  "state": "optimized geometry",
  "delta_e_f_ev_per_atom": 0.3975,
  "n_ef_per_ev_cell": 3.92,
  "total_magnetization_mub_per_fu": 0.000,
  "cell": [[5.575, 0.000, 0.000], [0.000, 5.575, 0.000], [0.000, 0.000, 4.868]],
  "species": ["Cs", "Al", "In", "In", "Ni"],
  "frac_coords": [[0.000, 0.000, 0.000], [0.500, 0.500, 0.500], [0.000, 0.500, 0.500], [0.500, 0.000, 0.500], [0.500, 0.500, 0.000]]
}

***

{
  "formula": "CsAlInPb2",
  "functional": "PBE",
  "state": "optimized geometry",
  "delta_e_f_ev_per_atom": 0.6231,
  "n_ef_per_ev_cell": 4.30,
  "total_magnetization_mub_per_fu": 0.000,
  "cell": [[5.868, 0.000, 0.000], [0.000, 5.868, 0.000], [0.000, 0.000, 6.751]],
  "species": ["Cs", "Al", "In", "Pb", "Pb"],
  "frac_coords": [[0.000, 0.000, 0.000], [0.500, 0.500, 0.000], [0.000, 0.000, 0.500], [0.000, 0.500, 0.500], [0.500, 0.000, 0.500]]
}

***

{
  "formula": "CsAl2InRu",
  "functional": "PBE",
  "state": "optimized geometry",
  "delta_e_f_ev_per_atom": 0.4635,
  "n_ef_per_ev_cell": 2.15,
  "total_magnetization_mub_per_fu": 0.000,
  "cell": [[4.911, 0.000, 0.000], [0.000, 4.911, 0.000], [0.000, 0.000, 5.865]],
  "species": ["Cs", "Al", "Al", "In", "Ru"],
  "frac_coords": [[0.000, 0.000, 0.000], [0.000, 0.500, 0.500], [0.500, 0.000, 0.500], [0.500, 0.500, 0.000], [0.000, 0.000, 0.500]]
}

***

{
  "formula": "CsAlInS4",
  "functional": "PBE",
  "state": "optimized geometry",
  "e_form_raw_kj_per_mol_fu": -531.0,
  "n_ef_per_ev_cell": 5.12,
  "total_magnetization_mub_per_fu": 0.001,
  "cell": [[6.475, 0.000, 0.000], [0.000, 6.485, 0.000], [-2.488, 0.000, 9.967]],
  "species": ["Cs", "Cs", "Al", "Al", "In", "In", "S", "S", "S", "S", "S", "S", "S", "S"],
  "frac_coords": [[0.234, 0.250, 0.056], [0.766, 0.750, 0.944], [0.210, 0.750, 0.319], [0.790, 0.250, 0.681], [0.285, 0.250, 0.661], [0.715, 0.750, 0.339], [0.028, 0.513, 0.700], [0.028, 0.987, 0.700], [0.382, 0.750, 0.152], [0.494, 0.750, 0.507], [0.506, 0.250, 0.493], [0.618, 0.250, 0.848], [0.972, 0.013, 0.300], [0.972, 0.487, 0.300]]
}

***

{
  "formula": "CsSc2AlIn",
  "functional": "PBE",
  "state": "optimized geometry",
  "delta_e_f_ev_per_atom": 0.6855,
  "n_ef_per_ev_cell": 8.69,
  "total_magnetization_mub_per_fu": 1.058,
  "cell": [[5.410, 0.000, 0.000], [0.000, 5.410, 0.000], [0.000, 0.000, 6.427]],
  "species": ["Cs", "Sc", "Sc", "Al", "In"],
  "frac_coords": [[0.000, 0.000, 0.000], [0.000, 0.500, 0.500], [0.500, 0.000, 0.500], [0.000, 0.000, 0.500], [0.500, 0.500, 0.000]]
}

***

{
  "formula": "CsAl2TlIn",
  "functional": "PBE",
  "state": "optimized geometry",
  "delta_e_f_ev_per_atom": 0.6230,
  "n_ef_per_ev_cell": 7.08,
  "total_magnetization_mub_per_fu": 0.000,
  "cell": [[5.416, 0.000, 0.000], [0.000, 5.416, 0.000], [0.000, 0.000, 6.812]],
  "species": ["Cs", "Al", "Al", "Tl", "In"],
  "frac_coords": [[0.000, 0.000, 0.000], [0.000, 0.500, 0.500], [0.500, 0.000, 0.500], [0.500, 0.500, 0.000], [0.000, 0.000, 0.500]]
}

***

{
  "formula": "CsAlTl2In",
  "functional": "PBE",
  "state": "optimized geometry",
  "delta_e_f_ev_per_atom": 0.1427,
  "n_ef_per_ev_cell": 4.00,
  "total_magnetization_mub_per_fu": 0.000,
  "cell": [[5.715, 0.000, 0.000], [0.000, 5.715, 0.000], [0.000, 0.000, 5.638]],
  "species": ["Cs", "Al", "Tl", "Tl", "In"],
  "frac_coords": [[0.000, 0.000, 0.000], [0.500, 0.500, 0.500], [0.000, 0.500, 0.500], [0.500, 0.000, 0.500], [0.500, 0.500, 0.000]]
}

***

{
  "formula": "CsAlInW2",
  "functional": "PBE",
  "state": "optimized geometry",
  "delta_e_f_ev_per_atom": 1.9698,
  "n_ef_per_ev_cell": 6.38,
  "total_magnetization_mub_per_fu": 1.230,
  "cell": [[4.943, 0.000, 0.000], [0.000, 4.943, 0.000], [0.000, 0.000, 5.332]],
  "species": ["Cs", "Al", "In", "W", "W"],
  "frac_coords": [[0.000, 0.000, 0.000], [0.500, 0.500, 0.500], [0.500, 0.500, 0.000], [0.000, 0.500, 0.500], [0.500, 0.000, 0.500]]
}

***

{
  "formula": "CsYAl2In",
  "functional": "PBE",
  "state": "optimized geometry",
  "delta_e_f_ev_per_atom": 0.5900,
  "n_ef_per_ev_cell": 6.46,
  "total_magnetization_mub_per_fu": 0.000,
  "cell": [[5.492, 0.000, 0.000], [0.000, 5.492, 0.000], [0.000, 0.000, 5.873]],
  "species": ["Cs", "Y", "Al", "Al", "In"],
  "frac_coords": [[0.000, 0.000, 0.000], [0.500, 0.500, 0.000], [0.000, 0.500, 0.500], [0.500, 0.000, 0.500], [0.500, 0.500, 0.500]]
}

***

{
  "formula": "CsAlZnIn2",
  "functional": "PBE",
  "state": "optimized geometry",
  "delta_e_f_ev_per_atom": 1.2511,
  "n_ef_per_ev_cell": 9.13,
  "total_magnetization_mub_per_fu": 0.020,
  "cell": [[6.609, 0.000, 0.000], [0.000, 6.609, 0.000], [0.000, 0.000, 6.086]],
  "species": ["Cs", "Al", "Zn", "In", "In"],
  "frac_coords": [[0.000, 0.000, 0.000], [0.500, 0.500, 0.500], [0.000, 0.000, 0.500], [0.000, 0.500, 0.000], [0.500, 0.000, 0.000]]
}

***

{
  "formula": "CsAl3Ir",
  "functional": "PBE",
  "state": "optimized geometry",
  "delta_e_f_ev_per_atom": -0.1996,
  "n_ef_per_ev_cell": 3.16,
  "total_magnetization_mub_per_fu": 0.000,
  "de_polymorph_ev_per_fu": 0.000,
  "cell": [[4.912, 0.000, 0.000], [0.000, 4.912, 0.000], [0.000, 0.000, 4.912]],
  "species": ["Cs", "Al", "Al", "Al", "Ir"],
  "frac_coords": [[0.000, 0.000, 0.000], [0.000, 0.500, 0.500], [0.500, 0.000, 0.500], [0.500, 0.500, 0.000], [0.500, 0.500, 0.500]]
}

***

{
  "formula": "Cs2Al2Ir",
  "functional": "PBE",
  "state": "optimized geometry",
  "delta_e_f_ev_per_atom": 0.1843,
  "n_ef_per_ev_cell": 5.07,
  "total_magnetization_mub_per_fu": 0.000,
  "cell": [[6.925, 0.000, 0.000], [0.000, 6.925, 0.000], [0.000, 0.000, 6.755]],
  "species": ["Cs", "Cs", "Cs", "Cs", "Al", "Al", "Al", "Al", "Ir", "Ir"],
  "frac_coords": [[0.178, 0.322, 0.000], [0.322, 0.822, 0.000], [0.678, 0.178, 0.000], [0.822, 0.678, 0.000], [0.231, 0.731, 0.500], [0.269, 0.231, 0.500], [0.731, 0.769, 0.500], [0.769, 0.269, 0.500], [0.000, 0.000, 0.500], [0.500, 0.500, 0.500]]
}

***

{
  "formula": "CsAl3Ir",
  "functional": "PBE",
  "state": "optimized geometry",
  "delta_e_f_ev_per_atom": 2.5869,
  "n_ef_per_ev_cell": 5.95,
  "total_magnetization_mub_per_fu": 0.371,
  "de_polymorph_ev_per_fu": 13.932,
  "cell": [[5.508, 0.000, 0.000], [0.000, 5.508, 0.000], [0.000, 0.000, 5.508]],
  "species": ["Cs", "Al", "Al", "Al", "Ir"],
  "frac_coords": [[0.000, 0.000, 0.000], [0.000, 0.000, 0.500], [0.000, 0.500, 0.000], [0.500, 0.000, 0.000], [0.500, 0.500, 0.500]]
}

***

{
  "formula": "CsLaAlIr2",
  "functional": "PBE",
  "state": "optimized geometry",
  "delta_e_f_ev_per_atom": 0.5944,
  "n_ef_per_ev_cell": 3.63,
  "total_magnetization_mub_per_fu": 0.000,
  "cell": [[4.749, 0.000, 0.000], [0.000, 4.749, 0.000], [0.000, 0.000, 5.557]],
  "species": ["Cs", "La", "Al", "Ir", "Ir"],
  "frac_coords": [[0.000, 0.000, 0.000], [0.500, 0.500, 0.000], [0.500, 0.500, 0.500], [0.000, 0.500, 0.500], [0.500, 0.000, 0.500]]
}

***

{
  "formula": "CsAlSiIr2",
  "functional": "PBE",
  "state": "optimized geometry",
  "e_form_raw_kj_per_mol_fu": 1332.6,
  "n_ef_per_ev_cell": 5.28,
  "total_magnetization_mub_per_fu": 0.000,
  "cell": [[5.068, 0.000, 0.000], [0.000, 5.068, 0.000], [0.000, 0.000, 5.318]],
  "species": ["Cs", "Al", "Si", "Ir", "Ir"],
  "frac_coords": [[0.000, 0.000, 0.000], [0.500, 0.500, 0.500], [0.000, 0.000, 0.500], [0.000, 0.500, 0.000], [0.500, 0.000, 0.000]]
}

***

{
  "formula": "CsAlSnIr2",
  "functional": "PBE",
  "state": "optimized geometry",
  "delta_e_f_ev_per_atom": 2.3188,
  "n_ef_per_ev_cell": 2.98,
  "total_magnetization_mub_per_fu": 0.000,
  "cell": [[5.113, 0.000, 0.000], [0.000, 5.113, 0.000], [0.000, 0.000, 5.431]],
  "species": ["Cs", "Al", "Sn", "Ir", "Ir"],
  "frac_coords": [[0.000, 0.000, 0.000], [0.000, 0.000, 0.500], [0.500, 0.500, 0.500], [0.000, 0.500, 0.000], [0.500, 0.000, 0.000]]
}

***

{
  "formula": "CsSr2AlIr",
  "functional": "PBE",
  "state": "optimized geometry",
  "delta_e_f_ev_per_atom": -0.0800,
  "n_ef_per_ev_cell": 3.70,
  "total_magnetization_mub_per_fu": 0.001,
  "cell": [[6.022, 0.000, 0.000], [0.000, 6.022, 0.000], [0.000, 0.000, 4.966]],
  "species": ["Cs", "Sr", "Sr", "Al", "Ir"],
  "frac_coords": [[0.000, 0.000, 0.000], [0.000, 0.500, 0.500], [0.500, 0.000, 0.500], [0.500, 0.500, 0.000], [0.500, 0.500, 0.500]]
}

***

{
  "formula": "CsTaAl2Ir",
  "functional": "PBE",
  "state": "optimized geometry",
  "delta_e_f_ev_per_atom": 0.4646,
  "n_ef_per_ev_cell": 4.09,
  "total_magnetization_mub_per_fu": 2.060,
  "cell": [[4.894, 0.000, 0.000], [0.000, 4.894, 0.000], [0.000, 0.000, 5.202]],
  "species": ["Cs", "Ta", "Al", "Al", "Ir"],
  "frac_coords": [[0.000, 0.000, 0.000], [0.500, 0.500, 0.000], [0.000, 0.500, 0.500], [0.500, 0.000, 0.500], [0.500, 0.500, 0.500]]
}

***

{
  "formula": "Cs3KAl",
  "functional": "PBE",
  "state": "optimized geometry",
  "delta_e_f_ev_per_atom": 0.6630,
  "n_ef_per_ev_cell": 11.63,
  "total_magnetization_mub_per_fu": 1.896,
  "cell": [[8.104, 0.000, 0.000], [0.000, 8.104, 0.000], [0.000, 0.000, 8.104]],
  "species": ["Cs", "Cs", "Cs", "K", "Al"],
  "frac_coords": [[0.000, 0.000, 0.500], [0.000, 0.500, 0.000], [0.500, 0.000, 0.000], [0.000, 0.000, 0.000], [0.500, 0.500, 0.500]]
}

***

{
  "formula": "CsKAl3",
  "functional": "PBE",
  "state": "optimized geometry",
  "delta_e_f_ev_per_atom": 1.1123,
  "n_ef_per_ev_cell": 6.41,
  "total_magnetization_mub_per_fu": 0.000,
  "de_polymorph_ev_per_fu": 0.000,
  "cell": [[6.201, 0.000, 0.000], [0.000, 6.201, 0.000], [0.000, 0.000, 6.201]],
  "species": ["Cs", "K", "Al", "Al", "Al"],
  "frac_coords": [[0.000, 0.000, 0.000], [0.500, 0.500, 0.500], [0.000, 0.500, 0.500], [0.500, 0.000, 0.500], [0.500, 0.500, 0.000]]
}

***

{
  "formula": "CsKAl3",
  "functional": "PBE",
  "state": "optimized geometry",
  "delta_e_f_ev_per_atom": 1.2900,
  "n_ef_per_ev_cell": 6.96,
  "total_magnetization_mub_per_fu": 0.000,
  "de_polymorph_ev_per_fu": 0.888,
  "cell": [[6.290, 0.000, 0.000], [0.000, 6.290, 0.000], [0.000, 0.000, 6.290]],
  "species": ["Cs", "K", "Al", "Al", "Al"],
  "frac_coords": [[0.000, 0.000, 0.000], [0.500, 0.500, 0.500], [0.000, 0.000, 0.500], [0.000, 0.500, 0.000], [0.500, 0.000, 0.000]]
}

***

{
  "formula": "CsK2AlN",
  "functional": "PBE",
  "state": "optimized geometry",
  "e_form_raw_kj_per_mol_fu": 527.8,
  "n_ef_per_ev_cell": 3.43,
  "total_magnetization_mub_per_fu": 0.309,
  "cell": [[6.918, 0.000, 0.000], [0.000, 6.918, 0.000], [0.000, 0.000, 4.570]],
  "species": ["Cs", "K", "K", "Al", "N"],
  "frac_coords": [[0.000, 0.000, 0.000], [0.000, 0.500, 0.000], [0.500, 0.000, 0.000], [0.500, 0.500, 0.500], [0.000, 0.000, 0.500]]
}

***

{
  "formula": "CsKNbAl2",
  "functional": "PBE",
  "state": "optimized geometry",
  "delta_e_f_ev_per_atom": 1.8722,
  "n_ef_per_ev_cell": 4.24,
  "total_magnetization_mub_per_fu": 2.957,
  "cell": [[6.078, 0.000, 0.000], [0.000, 6.078, 0.000], [0.000, 0.000, 5.661]],
  "species": ["Cs", "K", "Nb", "Al", "Al"],
  "frac_coords": [[0.000, 0.000, 0.000], [0.500, 0.500, 0.500], [0.000, 0.000, 0.500], [0.000, 0.500, 0.000], [0.500, 0.000, 0.000]]
}